## AcCeSmAg (PBE)

Data for an optimized crystal structure of AcCeSmAg.

The structure belongs to space group F-43m (No. 216); the cell edges are 7.8656, 7.8656 and 7.8656 Å and the angles 90.00°, 90.00° and 90.00°. The distinct sites, in fractional coordinates, are Ac at (0.0000, 0.0000, 0.0000), Ce at (0.2500, 0.2500, 0.2500), Sm at (0.2500, 0.2500, 0.7500) and Ag at (0.0000, 0.0000, 0.5000).

The formation energy comes out at 82 kJ/mol of formula units. The value obtained for the final energy is -4.191 eV per atom.



## AcTbCeAg (PBE)

Data for an optimized crystal structure of AcTbCeAg.

The structure belongs to space group F-43m (No. 216); the cell edges are 7.8228, 7.8228 and 7.8228 Å and the angles 90.00°, 90.00° and 90.00°. The distinct sites, in fractional coordinates, are Ac at (0.0000, 0.0000, 0.0000), Tb at (0.2500, 0.2500, 0.7500), Ce at (0.2500, 0.2500, 0.2500) and Ag at (0.0000, 0.0000, 0.5000).

The formation energy comes out at 83 kJ/mol of formula units. The value obtained for the final energy is -4.165 eV per atom.



## Ac2CeAgTe5 (PBE)

Data for an optimized crystal structure of Ac2CeAgTe5.

The structure belongs to space group Cmc2_1 (No. 36); the cell edges are 4.5910, 19.5399 and 13.6424 Å and the angles 90.00°, 90.00° and 90.00°. The distinct sites, in fractional coordinates, are Ac at (0.0000, 0.1117, 0.0000), Ac at (0.0000, 0.1236, 0.6226), Ce at (0.0000, 0.1947, 0.3226), Ag at (0.0000, 0.4345, 0.7712), Te at (0.0000, 0.0439, 0.3823), Te at (0.0000, 0.2898, 0.9830), Te at (0.0000, 0.3075, 0.6585), Te at (0.0000, 0.3588, 0.3146) and Te at (0.0000, 0.4991, 0.0893).

The value obtained for the final energy is -4.920 eV per atom. Its formation energy (no corrections) is -1.29 eV per atom.



## AcCeTlAg (PBE)

Data for an optimized crystal structure of AcCeTlAg.

The structure belongs to space group F-43m (No. 216); the cell edges are 7.8987, 7.8987 and 7.8987 Å and the angles 90.00°, 90.00° and 90.00°. The distinct sites, in fractional coordinates, are Ac at (0.0000, 0.0000, 0.0000), Ce at (0.0000, 0.0000, 0.5000), Tl at (0.2500, 0.2500, 0.7500) and Ag at (0.2500, 0.2500, 0.2500).

The formation energy comes out at -72 kJ/mol of formula units. The value obtained for the final energy is -4.001 eV per atom.



## AcCe2Tl2Ag2 (PBE)

Data for an optimized crystal structure of AcCe2Tl2Ag2.

The structure belongs to space group R-3m (No. 166, hexagonal axes); the cell edges are 4.8761, 4.8761 and 28.0728 Å and the angles 90.00°, 90.00° and 120.00°. The distinct sites, in fractional coordinates, are Ac at (0.0000, 0.0000, 0.0000), Ce at (0.0000, 0.0000, 0.1447), Tl at (0.0000, 0.0000, 0.2622) and Ag at (0.0000, 0.0000, 0.4376).

The formation energy comes out at -134 kJ/mol of formula units. The value obtained for the final energy is -3.971 eV per atom.



## AcCeZnAg (PBE)

Data for an optimized crystal structure of AcCeZnAg.

The structure belongs to space group F-43m (No. 216); the cell edges are 7.6500, 7.6500 and 7.6500 Å and the angles 90.00°, 90.00° and 90.00°. The distinct sites, in fractional coordinates, are Ac at (0.0000, 0.0000, 0.0000), Ce at (0.0000, 0.0000, 0.5000), Zn at (0.2500, 0.2500, 0.2500) and Ag at (0.2500, 0.2500, 0.7500).

The formation energy comes out at -51 kJ/mol of formula units. The value obtained for the final energy is -3.674 eV per atom.



## AcAgCl (PBE)

Data for an optimized crystal structure of AcAgCl.

The structure belongs to space group R-3m (No. 166, hexagonal axes); the cell edges are 4.8589, 4.8589 and 26.0430 Å and the angles 90.00°, 90.00° and 120.00°. The distinct sites, in fractional coordinates, are Ac at (0.0000, 0.0000, 0.0757), Ag at (0.0000, 0.0000, 0.3360) and Cl at (0.0000, 0.0000, 0.2017).

The value obtained for the final energy is -4.081 eV per atom. Its formation energy (no corrections) is -1.15 eV per atom.



## Ac2AgCl (PBE)

Data for an optimized crystal structure of Ac2AgCl.

The structure belongs to space group P4/mmm (No. 123); the cell edges are 3.7493, 3.7493 and 8.7299 Å and the angles 90.00°, 90.00° and 90.00°. The distinct sites, in fractional coordinates, are Ac at (0.0000, 0.0000, 0.2339), Ag at (0.5000, 0.5000, 0.0000) and Cl at (0.5000, 0.5000, 0.5000).

The excess energy over the best structure of this formula in the dataset comes out at 0.541 eV per formula unit. The value obtained for the final energy is -3.931 eV per atom. Its formation energy (no corrections) is -0.70 eV per atom.